Record 1
## Hf3ZrZn2 (PBE)

Data for an optimized crystal structure of Hf3ZrZn2.

a = 3.2572 Å, b = 3.2572 Å, c = 11.1814 Å
α = 90.00°, β = 90.00°, γ = 90.00°
Positions (direct):
1 Hf 0.0000 0.0000 0.0000
2 Hf 0.0000 0.0000 0.3086
3 Zn 0.5000 0.5000 0.1526
4 Hf 0.0000 0.0000 0.6914
5 Zn 0.5000 0.5000 0.8474
6 Zr 0.5000 0.5000 0.5000

Values from the calculation:
* DFT formation energy: -0.125 eV/atom
* total moment: 0.0 μB/cell

---

Record 2
## YB6Ir12 (PBE)

Data for an optimized crystal structure of YB6Ir12.

a = 6.5483 Å, b = 6.5483 Å, c = 6.5483 Å
α = 104.09°, β = 104.09°, γ = 104.09°
Positions (direct):
1 Ir 0.1352 0.8648 0.5000
2 Y 0.0000 0.0000 0.0000
3 Ir 0.5552 0.5552 0.8156
4 Ir 0.8648 0.5000 0.1352
5 Ir 0.4448 0.1844 0.4448
6 B 0.2306 0.2306 0.6672
7 Ir 0.8156 0.5552 0.5552
8 Ir 0.1844 0.4448 0.4448
9 B 0.3328 0.7694 0.7694
10 Ir 0.4448 0.4448 0.1844
11 Ir 0.5000 0.8648 0.1352
12 Ir 0.8648 0.1352 0.5000
13 B 0.6672 0.2306 0.2306
14 Ir 0.1352 0.5000 0.8648
15 Ir 0.5000 0.1352 0.8648
16 B 0.2306 0.6672 0.2306
17 B 0.7694 0.7694 0.3328
18 Ir 0.5552 0.8156 0.5552
19 B 0.7694 0.3328 0.7694

Values from the calculation:
* DFT formation energy: -0.257 eV/atom
* total moment: 0.0 μB/cell

---

Record 3
## Tl5SiSe4 (PBE)

Data for an optimized crystal structure of Tl5SiSe4.

a = 7.0926 Å, b = 10.2618 Å, c = 9.0741 Å
α = 90.00°, β = 90.00°, γ = 90.00°
Positions (direct):
1 Si 0.1330 0.0000 0.0000
2 Tl 0.9270 0.5000 0.0000
3 Se 0.6832 0.5000 0.7089
4 Tl 0.2843 0.6780 0.7941
5 Se 0.3168 0.0000 0.2089
6 Se 0.9393 0.1827 0.0000
7 Tl 0.7157 0.1780 0.7059
8 Tl 0.2843 0.3220 0.7941
9 Se 0.0607 0.3173 0.5000
10 Tl 0.2843 0.3220 0.2059
11 Se 0.6832 0.5000 0.2911
12 Tl 0.7157 0.1780 0.2941
13 Tl 0.0730 0.0000 0.5000
14 Se 0.0607 0.6827 0.5000
15 Se 0.3168 0.0000 0.7911
16 Si 0.8670 0.5000 0.5000
17 Tl 0.2843 0.6780 0.2059
18 Tl 0.7157 0.8220 0.7059
19 Tl 0.7157 0.8220 0.2941
20 Se 0.9393 0.8173 0.0000

Values from the calculation:
* total moment: 0.0 μB/cell
* formation energy without anion corrections: -0.36 eV/atom

---

Record 4
## BaTcAs (PBE)

Data for an optimized crystal structure of BaTcAs.

a = 4.1567 Å, b = 4.1567 Å, c = 10.1684 Å
α = 90.00°, β = 90.00°, γ = 90.00°
Positions (direct):
1 Tc 0.0000 0.0000 0.5000
2 As 0.0000 0.5000 0.3617
3 Tc 0.5000 0.5000 0.5000
4 Ba 0.5000 0.0000 0.2047
5 As 0.5000 0.0000 0.6383
6 Ba 0.0000 0.5000 0.7953

Values from the calculation:
* DFT formation energy: -0.500 eV/atom
* relative energy among the computed polymorphs: 0 meV/atom
* total moment: 0.0 μB/cell

---

Record 5
## In3GePb2S8 (PBE)

Data for an optimized crystal structure of In3GePb2S8.

a = 7.7323 Å, b = 7.7323 Å, c = 8.6994 Å
α = 63.61°, β = 63.61°, γ = 60.00°
Each line ends with the local moment (μB).
Positions (direct):
1 Ge 0.9008 0.9008 0.2976  0.13
2 S 0.7611 0.7611 0.2183  0.06
3 S 0.2453 0.2453 0.7942  0.00
4 Pb 0.4858 0.4858 0.5425  0.00
5 S 0.2453 0.7151 0.7942  0.00
6 S 0.7611 0.2595 0.2183  0.06
7 S 0.7151 0.2453 0.7942  0.00
8 In 0.4967 0.0035 0.0031  0.00
9 In 0.0035 0.4967 0.0031  0.00
10 S 0.7210 0.7210 0.8370  0.05
11 Pb 0.1290 0.1290 0.6131  0.00
12 S 0.2716 0.2716 0.1851  0.00
13 S 0.2595 0.7611 0.2183  0.06
14 In 0.4967 0.4967 0.0031  0.00

Values from the calculation:
* total moment: 0.6 μB/cell
* formation energy without anion corrections: -0.42 eV/atom

---

Record 6
## Y7Cu3 (PBE)

Data for an optimized crystal structure of Y7Cu3.

a = 6.2977 Å, b = 9.8654 Å, c = 9.8654 Å
α = 120.00°, β = 90.00°, γ = 90.00°
Each line ends with the local moment (μB).
Positions (direct):
1 Cu 0.8639 0.6200 0.8100  0.02
2 Y 0.6278 0.5395 0.4605  0.17
3 Cu 0.8639 0.1900 0.3800  0.02
4 Y 0.6224 0.3333 0.6667  0.25
5 Y 0.4369 0.1272 0.2544  0.09
6 Y 0.4369 0.1272 0.8728  0.09
7 Y 0.4369 0.7456 0.8728  0.09
8 Y 0.6278 0.5395 0.0791  0.17
9 Y 0.1224 0.6667 0.3333  0.25
10 Y 0.9369 0.2544 0.1272  0.09
11 Y 0.1278 0.4605 0.9209  0.17
12 Y 0.1278 0.0791 0.5395  0.17
13 Y 0.6278 0.9209 0.4605  0.17
14 Cu 0.3639 0.3800 0.1900  0.02
15 Y 0.1278 0.4605 0.5395  0.17
16 Cu 0.8639 0.1900 0.8100  0.02
17 Y 0.9369 0.8728 0.1272  0.09
18 Cu 0.3639 0.8100 0.1900  0.02
19 Y 0.9369 0.8728 0.7456  0.09
20 Cu 0.3639 0.8100 0.6200  0.02

Values from the calculation:
* DFT formation energy: -0.116 eV/atom
* total moment: 4.6 μB/cell

---

Record 7
## DyY3Mg6 (PBE)

Data for an optimized crystal structure of DyY3Mg6.

a = 5.2811 Å, b = 9.2666 Å, c = 11.2669 Å
α = 105.75°, β = 90.00°, γ = 90.00°
Each line ends with the local moment (μB).
Positions (direct):
1 Y 0.7500 0.6491 0.2051  0.04
2 Y 0.2500 0.5428 0.3967  0.08
3 Y 0.2500 0.3509 0.7949  0.04
4 Dy 0.7500 0.0509 0.3988  0.01
5 Y 0.7500 0.2485 0.9962  0.01
6 Mg 0.2500 0.6605 0.7062  0.00
7 Mg 0.2500 0.8568 0.3016  0.00
8 Mg 0.2500 0.1460 0.1948  0.00
9 Mg 0.2500 0.0473 0.8994  0.00
10 Y 0.2500 0.7515 0.0038  0.01
11 Dy 0.2500 0.9491 0.6012  0.01
12 Mg 0.7500 0.8540 0.8052  0.00
13 Mg 0.7500 0.7567 0.5090  0.00
14 Mg 0.7500 0.1432 0.6984  0.00
15 Mg 0.7500 0.3395 0.2938  0.00
16 Y 0.7500 0.4572 0.6033  0.08
17 Mg 0.7500 0.9527 0.1006  0.00
18 Mg 0.7500 0.5571 0.9005  0.00
19 Mg 0.2500 0.2433 0.4910  0.00
20 Mg 0.2500 0.4429 0.0995  0.00

Values from the calculation:
* DFT formation energy: -0.083 eV/atom
* total moment: 0.6 μB/cell

---

Record 8
## KBaZn (PBE)

Data for an optimized crystal structure of KBaZn.

a = 4.5879 Å, b = 4.5245 Å, c = 14.3875 Å
α = 80.95°, β = 90.00°, γ = 90.00°
Positions (direct):
1 Zn 0.2500 0.5228 0.9545
2 Ba 0.7500 0.0714 0.8571
3 Ba 0.2500 0.9286 0.1429
4 K 0.7500 0.3100 0.3800
5 Zn 0.7500 0.4772 0.0455
6 K 0.2500 0.6900 0.6200

Values from the calculation:
* DFT formation energy: -0.085 eV/atom
* relative energy among the computed polymorphs: 0 meV/atom
* total moment: 0.0 μB/cell

---

Record 9
## MnMoAs (PBE)

Data for an optimized crystal structure of MnMoAs.

a = 2.8678 Å, b = 2.8678 Å, c = 6.1001 Å
α = 90.00°, β = 90.00°, γ = 120.00°
Each line ends with the local moment (μB).
Positions (direct):
1 As 0.0000 0.0000 0.0185  -0.03
2 Mo 0.3333 0.6667 0.6553  -0.17
3 Mn 0.6667 0.3333 0.3263  1.51

Values from the calculation:
* DFT formation energy: 0.225 eV/atom
* total moment: 1.4 μB/cell

---

Record 10
## BeHgPb2 (PBE)

Data for an optimized crystal structure of BeHgPb2.

a = 6.0684 Å, b = 6.0684 Å, c = 6.0908 Å
α = 57.31°, β = 57.31°, γ = 32.58°
Positions (direct):
1 Be 0.5372 0.5372 0.3379
2 Pb 0.9778 0.9778 0.0461
3 Hg 0.1770 0.1770 0.3874
4 Pb 0.8081 0.8081 0.7286

Values from the calculation:
* DFT formation energy: 0.327 eV/atom
* relative energy among the computed polymorphs: 16 meV/atom
* total moment: 0.0 μB/cell

---

Record 11
## FeRe2Au (PBE)

Data for an optimized crystal structure of FeRe2Au.

a = 7.0805 Å, b = 7.0805 Å, c = 5.6133 Å
α = 50.90°, β = 50.90°, γ = 90.00°
Positions (direct):
1 Au 0.0000 0.0000 0.0000
2 Re 0.8750 0.8128 0.7500
3 Au 0.7500 0.2500 0.5000
4 Re 0.1872 0.6250 0.2500
5 Re 0.3750 0.4372 0.7500
6 Fe 0.2500 0.7500 0.5000
7 Re 0.5628 0.1250 0.2500
8 Fe 0.5000 0.5000 0.0000

Values from the calculation:
* DFT formation energy: 0.792 eV/atom
* relative energy among the computed polymorphs: 573 meV/atom
* total moment: 0.0 μB/cell

---

Record 12
## ZrAlPb4 (PBE)

Data for an optimized crystal structure of ZrAlPb4.

a = 6.3035 Å, b = 6.3035 Å, c = 6.3035 Å
α = 60.00°, β = 60.00°, γ = 60.00°
Each line ends with the local moment (μB).
Positions (direct):
1 Pb 0.8740 0.3753 0.3753  0.01
2 Al 0.0000 0.0000 0.0000  0.01
3 Pb 0.3753 0.8740 0.3753  0.01
4 Zr 0.7500 0.7500 0.7500  0.74
5 Pb 0.3753 0.3753 0.8740  0.01
6 Pb 0.3753 0.3753 0.3753  0.01

Values from the calculation:
* DFT formation energy: 0.511 eV/atom
* total moment: 1.4 μB/cell

---

Record 13
## GaSn2Pb (PBE)

Data for an optimized crystal structure of GaSn2Pb.

a = 6.4314 Å, b = 6.4314 Å, c = 8.0949 Å
α = 66.59°, β = 66.59°, γ = 90.00°
Positions (direct):
1 Ga 0.5000 0.5000 0.0000
2 Pb 0.0000 0.0000 0.0000
3 Sn 0.5889 0.1250 0.2500
4 Sn 0.3750 0.4111 0.7500
5 Pb 0.7500 0.2500 0.5000
6 Sn 0.8750 0.8389 0.7500
7 Ga 0.2500 0.7500 0.5000
8 Sn 0.1611 0.6250 0.2500

Values from the calculation:
* DFT formation energy: 0.138 eV/atom
* relative energy among the computed polymorphs: 104 meV/atom
* total moment: 0.0 μB/cell

---

Record 14
## DyB2OsRu (PBE)

Data for an optimized crystal structure of DyB2OsRu.

a = 4.0216 Å, b = 4.0216 Å, c = 5.4585 Å
α = 111.62°, β = 111.62°, γ = 90.00°
Positions (direct):
1 B 0.3215 0.3215 0.6429
2 B 0.6785 0.6785 0.3571
3 Dy 0.0000 0.0000 0.0000
4 Ru 0.7500 0.2500 0.5000
5 Os 0.2500 0.7500 0.5000

Values from the calculation:
* DFT formation energy: -0.440 eV/atom
* total moment: 0.0 μB/cell

---

Record 15
## PmHoGeRh (PBE)

Data for an optimized crystal structure of PmHoGeRh.

a = 5.0093 Å, b = 5.0093 Å, c = 5.0093 Å
α = 60.00°, β = 60.00°, γ = 60.00°
Positions (direct):
1 Ho 0.0000 0.0000 0.0000
2 Pm 0.5000 0.5000 0.5000
3 Rh 0.7500 0.7500 0.7500
4 Ge 0.2500 0.2500 0.2500

Values from the calculation:
* DFT formation energy: -0.682 eV/atom
* relative energy among the computed polymorphs: 152 meV/atom
* total moment: 0.0 μB/cell

---

Record 16
## AcLa3Nd6 (PBE)

Data for an optimized crystal structure of AcLa3Nd6.

a = 9.4217 Å, b = 9.2684 Å, c = 9.2684 Å
α = 114.30°, β = 90.00°, γ = 90.00°
Positions (direct):
1 Nd 0.4302 0.2321 0.7679
2 La 0.9958 0.7118 0.8526
3 Nd 0.9302 0.7679 0.2321
4 La 0.4958 0.2882 0.1474
5 La 0.3336 0.4612 0.5388
6 Nd 0.6803 0.9389 0.0611
7 La 0.4958 0.8526 0.7118
8 La 0.9958 0.1474 0.2882
9 Nd 0.1617 0.8253 0.5350
10 Nd 0.1803 0.0611 0.9389
11 Nd 0.8325 0.9721 0.6791
12 Ac 0.0612 0.2928 0.7072
13 Nd 0.6617 0.5350 0.8253
14 Nd 0.8325 0.3209 0.0279
15 Nd 0.3325 0.6791 0.9721
16 Nd 0.1617 0.4650 0.1747
17 Ac 0.5612 0.7072 0.2928
18 Nd 0.6617 0.1747 0.4650
19 La 0.8336 0.5388 0.4612
20 Nd 0.3325 0.0279 0.3209

Values from the calculation:
* DFT formation energy: 0.116 eV/atom
* relative energy among the computed polymorphs: 0 meV/atom
* total moment: 0.0 μB/cell

---

Record 17
## LiUF4 (PBE)

Data for an optimized crystal structure of LiUF4.

a = 4.0398 Å, b = 4.0398 Å, c = 5.4365 Å
α = 80.86°, β = 80.86°, γ = 88.18°
Each line ends with the local moment (μB).
Positions (direct):
1 Li 0.0003 0.9962 0.4974  0.00
2 F 0.0625 0.5895 0.7450  -0.01
3 U 0.5014 0.4974 0.9982  2.91
4 F 0.5935 0.0585 0.7450  -0.01
5 F 0.4099 0.9363 0.2516  -0.01
6 F 0.9403 0.4059 0.2517  -0.01

Values from the calculation:
* total moment: 3.0 μB/cell
* formation energy without anion corrections: -3.20 eV/atom

---

Record 18
## TlC2 (PBE)

Data for an optimized crystal structure of TlC2.

a = 3.7490 Å, b = 3.7490 Å, c = 13.0994 Å
α = 90.00°, β = 90.00°, γ = 120.00°
Positions (direct):
1 C 0.6667 0.3333 0.3996
2 C 0.0000 0.0000 0.9490
3 Tl 0.3333 0.6667 0.8636
4 Tl 0.0000 0.0000 0.5000
5 C 0.3333 0.6667 0.6961
6 C 0.6667 0.3333 0.3039
7 C 0.0000 0.0000 0.0510
8 Tl 0.6667 0.3333 0.1364
9 C 0.3333 0.6667 0.6004

Values from the calculation:
* DFT formation energy: 1.432 eV/atom
* relative energy among the computed polymorphs: 529 meV/atom
* total moment: 0.0 μB/cell

---

Record 19
## SmIF (PBE)

Data for an optimized crystal structure of SmIF.

a = 3.9314 Å, b = 6.5448 Å, c = 7.5639 Å
α = 103.36°, β = 103.94°, γ = 90.02°
Each line ends with the local moment (μB).
Positions (direct):
1 I 0.3971 0.7016 0.8179  0.01
2 Sm 0.2561 0.2670 0.5128  0.47
3 Sm 0.7439 0.7330 0.4872  0.47
4 F 0.8041 0.1118 0.6165  0.02
5 F 0.1959 0.8882 0.3835  0.02
6 I 0.6029 0.2984 0.1821  0.01

Values from the calculation:
* total moment: 2.0 μB/cell
* formation energy without anion corrections: -2.29 eV/atom

---

Record 20
## KTlCdBi (PBE)

Data for an optimized crystal structure of KTlCdBi.

a = 5.6663 Å, b = 5.6663 Å, c = 5.6663 Å
α = 60.00°, β = 60.00°, γ = 60.00°
Positions (direct):
1 Tl 0.2500 0.2500 0.2500
2 Cd 0.7500 0.7500 0.7500
3 K 0.0000 0.0000 0.0000
4 Bi 0.5000 0.5000 0.5000

Values from the calculation:
* DFT formation energy: -0.118 eV/atom
* relative energy among the computed polymorphs: 23 meV/atom
* total moment: 0.0 μB/cell

---

Record 21
## Dy3Sb2Se2 (PBE)

Data for an optimized crystal structure of Dy3Sb2Se2.

a = 4.2215 Å, b = 7.5994 Å, c = 8.1628 Å
α = 115.90°, β = 104.99°, γ = 90.00°
Positions (direct):
1 Sb 0.3688 0.2047 0.7377
2 Se 0.1324 0.3324 0.2648
3 Sb 0.6312 0.7953 0.2623
4 Dy 0.0000 0.5000 0.0000
5 Se 0.8676 0.6676 0.7352
6 Dy 0.2715 0.7470 0.5430
7 Dy 0.7285 0.2530 0.4570

Values from the calculation:
* total moment: 0.0 μB/cell
* formation energy without anion corrections: -1.26 eV/atom

---

Record 22
## ZnReW (PBE)

Data for an optimized crystal structure of ZnReW.

a = 4.2543 Å, b = 4.2543 Å, c = 4.2543 Å
α = 60.00°, β = 60.00°, γ = 60.00°
Positions (direct):
1 W 0.0000 0.0000 0.0000
2 Re 0.7500 0.7500 0.7500
3 Zn 0.5000 0.5000 0.5000

Values from the calculation:
* DFT formation energy: 0.759 eV/atom
* relative energy among the computed polymorphs: 597 meV/atom
* total moment: 0.0 μB/cell

---

Record 23
## SrY2As (PBE)

Data for an optimized crystal structure of SrY2As.

a = 6.4125 Å, b = 6.4125 Å, c = 6.4125 Å
α = 137.65°, β = 137.65°, γ = 61.44°
Positions (direct):
1 Y 0.5000 0.5000 0.0000
2 Y 0.0000 0.0000 0.0000
3 As 0.2500 0.7500 0.5000
4 Sr 0.7500 0.2500 0.5000

Values from the calculation:
* DFT formation energy: -0.251 eV/atom
* total moment: 0.0 μB/cell

---

Record 24
## TcAsPt2 (PBE)

Data for an optimized crystal structure of TcAsPt2.

a = 4.0341 Å, b = 2.8395 Å, c = 6.2735 Å
α = 60.84°, β = 90.00°, γ = 90.00°
Positions (direct):
1 Tc 0.5000 0.2500 0.2500
2 As 0.5000 0.7500 0.7500
3 Pt 0.0000 0.0118 0.0096
4 Pt 0.0000 0.4882 0.4904

Values from the calculation:
* DFT formation energy: 0.047 eV/atom
* total moment: 0.0 μB/cell